Pm3Pr4Th2 | PBE | relaxed

Cell lengths 7.2213, 8.6295, 11.7589 Å; angles 74.88, 117.49, 101.91 degrees
Fractional positions:
Th 0.9921 0.4736 0.1598
Pm 0.4151 0.8342 0.9454
Pm 0.0897 0.1712 0.7356
Th 0.6638 0.8391 0.6076
Pm 0.2486 0.4983 0.4927
Pr 0.5902 0.1697 0.7274
Pr 0.1642 0.8391 0.6065
Th 0.3362 0.1609 0.3924
Pm 0.5849 0.1658 0.0546
Pr 0.9140 0.8313 0.9433
Pr 0.4935 0.4759 0.1652
Pr 0.0860 0.1687 0.0567
Th 0.0079 0.5264 0.8402
Pr 0.5065 0.5241 0.8348
Pm 0.7514 0.5017 0.5073
Pr 0.4098 0.8303 0.2726
Pm 0.9103 0.8288 0.2644
Pr 0.8358 0.1609 0.3935

Output
SG: P-1 (2)
Density in g/cm³: 7.78
Calculated formation energy in eV/atom: 0.07
Crystal system: triclinic
Magnetization in μB/atom: 0.0000
E above lowest polymorph in meV/atom: 0

=====

La6CoIr | PBE | relaxed

Cell lengths 6.8938, 6.8963, 7.7450 Å; angles 63.58, 63.60, 60.03 degrees
Fractional positions:
La 0.5902 0.2459 0.2446
Ir 0.5000 0.5000 0.5000
La 0.9198 0.5898 0.2449
La 0.0802 0.4102 0.7551
La 0.4098 0.7541 0.7554
La 0.2461 0.9198 0.2446
Co 0.0000 0.0000 0.0000
La 0.7539 0.0802 0.7554

Output
SG: R-3 (148)
Density in g/cm³: 6.58
Calculated formation energy in eV/atom: -0.26
Crystal system: trigonal
Magnetization in μB/atom: 0.0000

=====

K2CaMg | PBE | relaxed

Cell lengths 13.2846, 13.2846, 13.2846 Å; angles 18.02, 18.02, 18.02 degrees
Fractional positions:
K 0.0067 0.0067 0.0067
Ca 0.7650 0.7650 0.7650
K 0.2352 0.2352 0.2352
Mg 0.4931 0.4931 0.4931

Output
SG: R3m (160)
Density in g/cm³: 1.21
Calculated formation energy in eV/atom: 0.17
Crystal system: trigonal
Magnetization in μB/atom: 0.0000

=====

Ba2PtRhN | PBE | relaxed

Cell lengths 5.7544, 5.7544, 3.7995 Å; angles 90.00, 90.00, 90.00 degrees
Fractional positions:
Ba 0.0000 0.5000 0.0000
Pt 0.5000 0.5000 0.5000
Ba 0.5000 0.0000 0.0000
Rh 0.0000 0.0000 0.5000
N 0.0000 0.0000 0.0000

Output
Energy relative to the elements, uncorrected in meV per atom: -501
SG: P4/mmm (123)
Density in g/cm³: 7.74
Crystal system: tetragonal
Magnetization in μB/atom: 0.0000

=====

Ho2MgScBi4 | PBE | relaxed

Cell lengths 4.3653, 7.5698, 7.7065 Å; angles 70.33, 90.00, 90.00 degrees
Fractional positions:
Bi 0.5000 0.7381 0.2573
Bi 0.0000 0.2630 0.2478
Ho 0.5000 0.0000 0.5000
Mg 0.5000 0.5000 0.0000
Bi 0.0000 0.7370 0.7522
Ho 0.0000 0.0000 0.0000
Bi 0.5000 0.2619 0.7427
Sc 0.0000 0.5000 0.5000

Output
SG: P2/m (10)
Density in g/cm³: 8.55
Calculated formation energy in eV/atom: -0.55
Crystal system: monoclinic
Magnetization in μB/atom: 0.0000

=====

AlIrCl2 | PBE | relaxed

Cell lengths 4.5643, 4.5643, 4.5643 Å; angles 60.00, 60.00, 60.00 degrees
Fractional positions:
Ir 0.5000 0.5000 0.5000
Al 0.0000 0.0000 0.0000
Cl 0.2500 0.2500 0.2500
Cl 0.7500 0.7500 0.7500

Output
Energy relative to the elements, uncorrected in meV per atom: 706
SG: Fm-3m (225)
Density in g/cm³: 7.16
Crystal system: cubic
Magnetization in μB/atom: 0.0000
E above lowest polymorph in meV/atom: 1253

=====

TbThCoCl | PBE | relaxed

Cell lengths 3.9482, 3.9476, 7.9017 Å; angles 90.01, 104.45, 120.01 degrees
Fractional positions:
Tb 0.5057 0.1506 0.6718
Th 0.0906 0.9431 0.0493
Co 0.3085 0.5521 0.8761
Cl 0.9731 0.3850 0.3724

Output
Energy relative to the elements, uncorrected in meV per atom: -827
SG: R3m (160)
Density in g/cm³: 7.89
Crystal system: trigonal
Magnetization in μB/atom: 0.0000

=====

Pm5Sm4In | PBE | relaxed

Cell lengths 6.0191, 8.1451, 8.1451 Å; angles 82.15, 68.32, 68.32 degrees
Fractional positions:
Pm 0.7663 0.3736 0.0001
Pm 0.7664 0.9999 0.3736
Pm 0.1399 0.0001 0.6264
Sm 0.4596 0.3131 0.6869
Sm 0.1464 0.3131 0.3131
Pm 0.1400 0.6264 0.9999
Pm 0.6698 0.0000 0.0000
Sm 0.7726 0.6869 0.6869
In 0.1898 0.0000 0.0000
Sm 0.4595 0.6869 0.3131

Output
SG: I4mm (107)
Density in g/cm³: 6.94
Calculated formation energy in eV/atom: 0.10
Crystal system: tetragonal
Magnetization in μB/atom: 0.0000
E above lowest polymorph in meV/atom: 101

=====

Ce2ThMg2Sn2 | PBE | relaxed

Cell lengths 4.8125, 4.8125, 9.6765 Å; angles 75.60, 75.60, 60.00 degrees
Fractional positions:
Ce 0.1438 0.1438 0.5685
Th 0.0000 0.0000 0.0000
Mg 0.5861 0.5861 0.2418
Mg 0.4139 0.4139 0.7582
Ce 0.8562 0.8562 0.4315
Sn 0.7336 0.7336 0.7992
Sn 0.2664 0.2664 0.2008

Output
SG: R-3m (166)
Density in g/cm³: 7.13
Calculated formation energy in eV/atom: -0.22
Crystal system: trigonal
Magnetization in μB/atom: 0.3601

=====

LiAlH2 | PBE | relaxed

Cell lengths 6.1282, 6.1282, 6.1282 Å; angles 122.96, 122.96, 84.94 degrees
Fractional positions:
Li 0.8750 0.1250 0.7500
Al 0.3750 0.6250 0.7500
Al 0.3750 0.1250 0.7500
H 0.7535 0.7534 0.5069
Li 0.8750 0.1250 0.2500
H 0.7535 0.2465 0.0000
H 0.2466 0.7535 0.0000
Al 0.3750 0.6250 0.2500
H 0.9965 0.0035 0.5000
Li 0.3750 0.1250 0.2500
Li 0.8750 0.6250 0.7500
H 0.5035 0.0035 0.0069
H 0.2465 0.2465 0.4931
H 0.9965 0.4966 0.9931
H 0.5034 0.4965 0.5000
Al 0.8750 0.6250 0.2500

Output
SG: I4_1/amd (141)
Density in g/cm³: 1.54
Crystal system: tetragonal
Magnetization in μB/atom: 0.0000
E above lowest polymorph in meV/atom: 166

=====

Sb2IrOs | PBE | relaxed

Cell lengths 5.6092, 5.6092, 4.1448 Å; angles 90.00, 90.00, 34.67 degrees
Fractional positions:
Sb 0.2774 0.2774 0.3750
Os 0.7155 0.7155 0.8750
Ir 0.5320 0.5320 0.3750
Sb 0.9750 0.9750 0.8750

Output
Energy relative to the elements, uncorrected in meV per atom: 233
SG: Amm2 (38)
Density in g/cm³: 14.01
Crystal system: orthorhombic
Magnetization in μB/atom: 0.0000
E above lowest polymorph in meV/atom: 0

=====

YMgRhO2 | PBE | relaxed

Cell lengths 4.2260, 4.5368, 4.2260 Å; angles 90.00, 90.00, 90.00 degrees
Fractional positions:
Mg 0.0000 0.5000 0.0000
Rh 0.0000 0.0000 0.0000
O 0.5000 0.0000 0.0000
O 0.0000 0.0000 0.5000
Y 0.5000 0.5000 0.5000

Output
Energy relative to the elements, uncorrected in meV per atom: -307
SG: P4/mmm (123)
Density in g/cm³: 5.08
Crystal system: tetragonal
Magnetization in μB/atom: 0.0000

=====

MgBC | PBE | relaxed

Cell lengths 3.1060, 3.5838, 5.4569 Å; angles 79.02, 73.83, 89.76 degrees
Fractional positions:
C 0.5597 0.4180 0.8915
B 0.2921 0.5187 0.4137
C 0.4403 0.5820 0.1085
Mg 0.8737 0.0809 0.2468
Mg 0.1263 0.9191 0.7532
B 0.7079 0.4813 0.5863

Output
SG: P-1 (2)
Density in g/cm³: 2.74
Calculated formation energy in eV/atom: 0.21
Crystal system: triclinic
Magnetization in μB/atom: 0.0000
E above lowest polymorph in meV/atom: 188

=====

SrAcTb2 | PBE | relaxed

Cell lengths 3.7326, 3.7326, 13.3119 Å; angles 81.94, 81.94, 60.00 degrees
Fractional positions:
Tb 0.0908 0.0908 0.7277
Sr 0.0000 0.0000 0.0000
Tb 0.9092 0.9092 0.2723
Ac 0.5000 0.5000 0.5000

Output
SG: R-3m (166)
Density in g/cm³: 6.63
Calculated formation energy in eV/atom: 0.25
Crystal system: trigonal
Magnetization in μB/atom: 0.0000
E above lowest polymorph in meV/atom: 117

=====

CdAuO2F | PBE | relaxed

Cell lengths 4.1260, 4.1260, 4.3086 Å; angles 90.00, 90.00, 90.00 degrees
Fractional positions:
Au 0.0000 0.0000 0.0000
O 0.5000 0.0000 0.0000
O 0.0000 0.5000 0.0000
Cd 0.5000 0.5000 0.5000
F 0.0000 0.0000 0.5000

Output
Energy relative to the elements, uncorrected in meV per atom: -228
SG: P4/mmm (123)
Density in g/cm³: 8.16
Crystal system: tetragonal
Magnetization in μB/atom: 0.0000

=====

HoAlZn11 | PBE | relaxed

Cell lengths 5.2562, 6.7971, 6.7903 Å; angles 81.36, 67.23, 67.15 degrees
Fractional positions:
Zn 0.6465 0.3530 0.3550
Zn 0.3535 0.6470 0.6450
Zn 0.9985 0.6470 0.3550
Zn 0.5000 0.0000 0.5000
Ho 0.0000 0.0000 0.0000
Zn 0.5021 0.7851 0.2178
Zn 0.7199 0.7851 0.7822
Zn 0.2801 0.2149 0.2178
Zn 0.0015 0.3530 0.6450
Zn 0.4979 0.2149 0.7822
Al 0.5000 0.5000 0.0000
Zn 0.0000 0.0000 0.5000
Zn 0.0000 0.5000 0.0000

Output
SG: C2/m (12)
Density in g/cm³: 7.34
Calculated formation energy in eV/atom: -0.16
Crystal system: monoclinic
Magnetization in μB/atom: 0.0000

=====

SbOs | PBE | relaxed

Cell lengths 3.1660, 3.1660, 3.5223 Å; angles 90.00, 90.00, 90.00 degrees
Fractional positions:
Sb 0.5000 0.5000 0.5000
Os 0.0000 0.0000 0.0000

Output
Energy relative to the elements, uncorrected in meV per atom: 649
SG: P4/mmm (123)
Density in g/cm³: 14.67
Crystal system: tetragonal
Magnetization in μB/atom: 0.0000

=====

BaPr2Sm | PBE | relaxed

Cell lengths 3.7243, 3.7243, 13.4492 Å; angles 82.04, 82.04, 60.00 degrees
Fractional positions:
Pr 0.9068 0.9068 0.2795
Ba 0.0000 0.0000 0.0000
Sm 0.5000 0.5000 0.5000
Pr 0.0932 0.0932 0.7205

Output
SG: R-3m (166)
Density in g/cm³: 5.93
Calculated formation energy in eV/atom: 0.18
Crystal system: trigonal
Magnetization in μB/atom: 0.0000
E above lowest polymorph in meV/atom: 83

=====

LaEu2Lu | PBE | relaxed

Cell lengths 5.9140, 5.9140, 5.9140 Å; angles 60.00, 60.00, 60.00 degrees
Fractional positions:
La 0.5000 0.5000 0.5000
Eu 0.7500 0.7500 0.7500
Lu 0.0000 0.0000 0.0000
Eu 0.2500 0.2500 0.2500

Output
SG: Fm-3m (225)
Density in g/cm³: 7.01
Calculated formation energy in eV/atom: 0.16
Crystal system: cubic
Magnetization in μB/atom: 3.5919
E above lowest polymorph in meV/atom: 41

=====

MgTi2S4 | PBE | relaxed

Cell lengths 3.4540, 5.9669, 7.0259 Å; angles 114.05, 104.24, 90.00 degrees
Fractional positions:
S 0.6351 0.9732 0.2701
Mg 0.0000 0.0000 0.0000
S 0.3649 0.0268 0.7299
S 0.8727 0.5364 0.7451
S 0.1273 0.4636 0.2549
Ti 0.2551 0.2739 0.5101
Ti 0.7449 0.7261 0.4899

Output
Energy relative to the elements, uncorrected in meV per atom: -1383
SG: C2/m (12)
Density in g/cm³: 3.24
Crystal system: monoclinic
Magnetization in μB/atom: 0.0000

=====

Y2ScMn | PBE | relaxed

Cell lengths 8.2075, 8.2075, 6.5823 Å; angles 51.43, 51.43, 90.00 degrees
Fractional positions:
Y 0.8750 0.9233 0.7500
Sc 0.5000 0.5000 0.0000
Mn 0.7500 0.2500 0.5000
Y 0.6733 0.1250 0.2500
Mn 0.0000 0.0000 0.0000
Sc 0.2500 0.7500 0.5000
Y 0.3750 0.3267 0.7500
Y 0.0767 0.6250 0.2500

Output
SG: I-42d (122)
Density in g/cm³: 4.41
Calculated formation energy in eV/atom: 0.46
Crystal system: tetragonal
Magnetization in μB/atom: 0.6457
E above lowest polymorph in meV/atom: 352

=====

HoCrN | PBE | relaxed

Cell lengths 3.1731, 3.1724, 10.4972 Å; angles 90.00, 90.00, 120.01 degrees
Fractional positions:
Cr 0.6117 0.2234 0.3860
Cr 0.6117 0.2234 0.6140
N 0.2785 0.5569 0.5000
Ho 0.2772 0.5544 0.8561
N 0.6104 0.2207 0.0000
Ho 0.2772 0.5544 0.1439

Output
Energy relative to the elements, uncorrected in meV per atom: -128
SG: Amm2 (38)
Density in g/cm³: 8.38
Crystal system: orthorhombic
Magnetization in μB/atom: 0.8868

=====

Sc2GaRh6 | PBE | relaxed

Cell lengths 2.8955, 7.4387, 7.8698 Å; angles 118.20, 100.62, 90.00 degrees
Fractional positions:
Rh 0.8319 0.0301 0.6628
Sc 0.3424 0.3417 0.6834
Rh 0.1681 0.9699 0.3372
Rh 0.8319 0.6326 0.6628
Rh 0.5000 0.2763 0.0000
Rh 0.1681 0.3674 0.3372
Ga 0.0000 0.0000 0.0000
Rh 0.5000 0.7237 0.0000
Sc 0.6576 0.6583 0.3166

Output
SG: Immm (71)
Density in g/cm³: 8.83
Calculated formation energy in eV/atom: -0.37
Crystal system: orthorhombic
Magnetization in μB/atom: 0.0000

=====

Co3SiNi | PBE | relaxed

Cell lengths 4.1270, 4.1270, 4.1270 Å; angles 90.00, 90.00, 90.00 degrees
Fractional positions:
Co 0.0000 0.0000 0.5000
Ni 0.5000 0.5000 0.5000
Si 0.0000 0.0000 0.0000
Co 0.5000 0.0000 0.0000
Co 0.0000 0.5000 0.0000

Output
Energy relative to the elements, uncorrected in meV per atom: 789
SG: Pm-3m (221)
Density in g/cm³: 6.23
Crystal system: cubic
Magnetization in μB/atom: 0.8081
E above lowest polymorph in meV/atom: 0

=====

ThMgAlPt2 | PBE | relaxed

Cell lengths 4.0463, 4.0463, 6.7837 Å; angles 107.35, 107.35, 90.00 degrees
Fractional positions:
Pt 0.6114 0.6114 0.2229
Mg 0.7500 0.2500 0.5000
Pt 0.3886 0.3886 0.7771
Th 0.0000 0.0000 0.0000
Al 0.2500 0.7500 0.5000

Output
SG: I-4m2 (119)
Density in g/cm³: 11.11
Calculated formation energy in eV/atom: -0.98
Crystal system: tetragonal
Magnetization in μB/atom: 0.0000